Entry 1:
CsGe2Br4: optimized geometry, PBE.

Unit cell a=6.480 b=6.480 c=8.315 alpha=106.71 beta=106.71 gamma=95.25
Positions (direct):
Cs (0.000, 0.000, 0.000)
Ge (0.442, 0.442, 0.820)
Ge (0.558, 0.558, 0.180)
Br (0.046, 0.431, 0.759)
Br (0.431, 0.046, 0.759)
Br (0.569, 0.954, 0.241)
Br (0.954, 0.569, 0.241)

Summary:
total DFT energy (no corrections) = -3.165 eV per atom
formation energy from raw total energies = -767.9 meV/atom

Entry 2:
ZrGa2Au: optimized geometry, PBE.

Unit cell a=5.956 b=5.956 c=5.956 alpha=103.83 beta=103.83 gamma=121.46
Positions (direct):
Zr (0.000, 0.000, 0.000)
Zr (0.750, 0.250, 0.500)
Ga (0.151, 0.625, 0.026)
Ga (0.375, 0.401, 0.526)
Ga (0.599, 0.125, 0.974)
Ga (0.875, 0.849, 0.474)
Au (0.250, 0.750, 0.500)
Au (0.500, 0.500, 0.000)

Summary:
total DFT energy (no corrections) = -4.742 eV per atom
formation enthalpy at 0 K = -1.09 eV/f.u.

Entry 3:
CaSm4DySe8: optimized geometry, PBE.

Unit cell a=8.564 b=8.564 c=8.564 alpha=60.24 beta=60.24 gamma=60.24
Positions (direct):
Ca (0.000, 0.000, 0.000)
Sm (0.118, 0.627, 0.627)
Sm (0.249, 0.249, 0.249)
Sm (0.627, 0.118, 0.627)
Sm (0.627, 0.627, 0.118)
Dy (0.627, 0.627, 0.627)
Se (0.382, 0.382, 0.382)
Se (0.386, 0.386, 0.848)
Se (0.386, 0.848, 0.386)
Se (0.402, 0.863, 0.863)
Se (0.848, 0.386, 0.386)
Se (0.863, 0.402, 0.863)
Se (0.863, 0.863, 0.402)
Se (0.866, 0.866, 0.866)

Summary:
total DFT energy (no corrections) = -5.613 eV per atom
formation energy from raw total energies = -1801.6 meV/atom

Number 3 is which compound?
CaSm4DySe8

total DFT energy (no corrections) of number 2 (ZrGa2Au)?
-4.742 eV per atom

Which value of total DFT energy (no corrections) does entry 3 give?
-5.613 eV per atom

What did the third record say?
CaSm4DySe8: optimized geometry, PBE.

Unit cell a=8.564 b=8.564 c=8.564 alpha=60.24 beta=60.24 gamma=60.24
Positions (direct):
Ca (0.000, 0.000, 0.000)
Sm (0.118, 0.627, 0.627)
Sm (0.249, 0.249, 0.249)
Sm (0.627, 0.118, 0.627)
Sm (0.627, 0.627, 0.118)
Dy (0.627, 0.627, 0.627)
Se (0.382, 0.382, 0.382)
Se (0.386, 0.386, 0.848)
Se (0.386, 0.848, 0.386)
Se (0.402, 0.863, 0.863)
Se (0.848, 0.386, 0.386)
Se (0.863, 0.402, 0.863)
Se (0.863, 0.863, 0.402)
Se (0.866, 0.866, 0.866)

Summary:
total DFT energy (no corrections) = -5.613 eV per atom
formation energy from raw total energies = -1801.6 meV/atom